Computed, not measured: CsCoAuS3 after structural relaxation at the PBE level of DFT.

Lattice parameters (Å, degrees): 8.6473 8.6473 9.5951 90.00 90.00 23.47
With the nearest neighbours (Å) after each atom.
Sites, in units of the cell vectors:
S 0.4114 0.4114 0.4911  2 Co 2.31, 1 Au 2.32
Cs 0.2763 0.2763 0.7500  4 S 3.38-3.64, 2 Cs 3.52, 2 Au 3.55
Co 0.0000 0.0000 0.5000  6 S 2.31-2.47
Au 0.5939 0.5939 0.7500  2 S 2.32
S 0.5886 0.5886 0.5089  2 Co 2.31, 1 Au 2.32
S 0.4114 0.4114 0.0089  2 Co 2.31, 1 Au 2.32
S 0.5886 0.5886 0.9911  2 Co 2.31, 1 Au 2.32
Au 0.4061 0.4061 0.2500  2 S 2.32
S 0.0355 0.0355 0.2500  2 Co 2.47
Co 0.0000 0.0000 0.0000  6 S 2.31-2.47
S 0.9645 0.9645 0.7500  2 Co 2.47
Cs 0.7237 0.7237 0.2500  4 S 3.38-3.64, 2 Cs 3.52, 2 Au 3.55

## Properties
- Space-group type: Cmcm
- Raw total energy: -4.165 eV per atom

***

Computed, not measured: CsCoAuSe2S after structural relaxation at the PBE level of DFT.

Lattice parameters (Å, degrees): 8.5288 8.5288 10.0477 90.00 90.00 155.01
With the nearest neighbours (Å) after each atom.
Sites, in units of the cell vectors:
S 0.9609 0.0391 0.2500  2 Co 2.59, 2 Au 2.63
Se 0.5948 0.4052 0.0070  2 Co 2.43, 1 Au 2.47
Cs 0.2605 0.7395 0.2500  2 Se 3.53, 2 Au 3.61, 2 Cs 3.69, 2 S 3.81
Co 0.0000 0.0000 0.5000  4 Se 2.43, 2 S 2.59
Co 0.0000 0.0000 0.0000  4 Se 2.43, 2 S 2.59
Se 0.4052 0.5948 0.9930  2 Co 2.43, 1 Au 2.47
Au 0.4261 0.5739 0.7500  2 Se 2.47, 2 S 2.63
Au 0.5739 0.4261 0.2500  2 Se 2.47, 2 S 2.63
S 0.0391 0.9609 0.7500  2 Co 2.59, 2 Au 2.63
Se 0.5948 0.4052 0.4930  2 Co 2.43, 1 Au 2.47
Se 0.4052 0.5948 0.5070  2 Co 2.43, 1 Au 2.47
Cs 0.7395 0.2605 0.7500  2 Se 3.53, 2 Au 3.61, 2 Cs 3.69, 2 S 3.81

## Properties
- Space-group type: Cmcm
- Raw total energy: -3.922 eV per atom

***

Computed, not measured: CsCoAuSeS2 after structural relaxation at the PBE level of DFT.

Lattice parameters (Å, degrees): 8.8074 8.8074 9.7970 90.00 90.00 157.06
With the nearest neighbours (Å) after each atom.
Sites, in units of the cell vectors:
S 0.0874 0.9126 0.4869  2 Co 2.31, 1 Au 2.33
Se 0.4599 0.5401 0.2500  2 Co 2.55
Co 0.5000 0.5000 0.0000  4 S 2.31, 2 Se 2.55
Se 0.5401 0.4599 0.7500  2 Co 2.55
Cs 0.2248 0.7752 0.7500  2 Cs 3.50, 2 S 3.50, 2 Au 3.53, 2 Se 3.64
Au 0.0979 0.9021 0.2500  2 S 2.33
Au 0.9021 0.0979 0.7500  2 S 2.33
Co 0.5000 0.5000 0.5000  4 S 2.31, 2 Se 2.55
S 0.9126 0.0874 0.5131  2 Co 2.31, 1 Au 2.33
S 0.9126 0.0874 0.9869  2 Co 2.31, 1 Au 2.33
Cs 0.7752 0.2248 0.2500  2 Cs 3.50, 2 S 3.50, 2 Au 3.53, 2 Se 3.64
S 0.0874 0.9126 0.0131  2 Co 2.31, 1 Au 2.33

## Properties
- Space-group type: Cmcm
- Raw total energy: -4.117 eV per atom

***

Computed, not measured: CsCoTe2AuS after structural relaxation at the PBE level of DFT.

Lattice parameters (Å, degrees): 8.1396 8.1396 11.4818 90.00 90.00 152.09
With the nearest neighbours (Å) after each atom.
Sites, in units of the cell vectors:
Te 0.3963 0.6037 0.0342  2 Co 2.59, 1 Au 2.73
Au 0.5315 0.4685 0.7500  2 S 2.44, 2 Te 2.73
Co 0.0000 0.0000 0.0000  4 Te 2.59
Au 0.4685 0.5315 0.2500  2 S 2.44, 2 Te 2.73
S 0.9396 0.0604 0.7500  2 Au 2.44
S 0.0604 0.9396 0.2500  2 Au 2.44
Te 0.3963 0.6037 0.4658  2 Co 2.59, 1 Au 2.73
Te 0.6037 0.3963 0.9658  2 Co 2.59, 1 Au 2.73
Cs 0.2562 0.7438 0.7500  2 S 3.50
Te 0.6037 0.3963 0.5342  2 Co 2.59, 1 Au 2.73
Co 0.0000 0.0000 0.5000  4 Te 2.59
Cs 0.7438 0.2562 0.2500  2 S 3.50

## Properties
- Space-group type: Cmcm
- Raw total energy: -3.731 eV per atom

***

Computed, not measured: CsCoTeAuSe2 after structural relaxation at the PBE level of DFT.

Lattice parameters (Å, degrees): 9.0626 9.0626 10.3921 90.00 90.00 156.70
With the nearest neighbours (Å) after each atom.
Sites, in units of the cell vectors:
Cs 0.7386 0.2614 0.2500  2 Au 3.50, 2 Cs 3.66, 2 Se 3.79, 2 Te 3.88
Co 0.0000 0.0000 0.5000  4 Se 2.44, 2 Te 2.72
Se 0.5903 0.4097 0.9876  2 Co 2.44, 1 Au 2.47
Se 0.4097 0.5903 0.4876  2 Co 2.44, 1 Au 2.47
Cs 0.2614 0.7386 0.7500  2 Au 3.50, 2 Cs 3.66, 2 Se 3.79, 2 Te 3.88
Se 0.4097 0.5903 0.0124  2 Co 2.44, 1 Au 2.47
Au 0.5936 0.4064 0.7500  2 Se 2.47
Te 0.9543 0.0457 0.7500  2 Co 2.72
Au 0.4064 0.5936 0.2500  2 Se 2.47
Te 0.0457 0.9543 0.2500  2 Co 2.72
Se 0.5903 0.4097 0.5124  2 Co 2.44, 1 Au 2.47
Co 0.0000 0.0000 0.0000  4 Se 2.44, 2 Te 2.72

## Properties
- Space-group type: Cmcm
- Raw total energy: -3.859 eV per atom

***

Computed, not measured: CsCoTcAu after structural relaxation at the PBE level of DFT.

Lattice parameters (Å, degrees): 4.8075 4.8075 4.8075 60.00 60.00 60.00
With the nearest neighbours (Å) after each atom.
Sites, in units of the cell vectors:
Cs 0.2500 0.2500 0.2500  4 Tc 2.94, 4 Co 2.94
Co 0.0000 0.0000 0.0000  4 Cs 2.94, 4 Au 2.94
Tc 0.5000 0.5000 0.5000  4 Cs 2.94, 4 Au 2.94
Au 0.7500 0.7500 0.7500  4 Tc 2.94, 4 Co 2.94

## Properties
- Energy relative to the lowest polymorph listed for this composition: 0.0 meV/atom
- Space-group type: F-43m

***

Computed, not measured: CsCoTcAu after structural relaxation at the PBE level of DFT.

Lattice parameters (Å, degrees): 4.9670 4.9670 4.9670 60.00 60.00 60.00
With the nearest neighbours (Å) after each atom.
Sites, in units of the cell vectors:
Au 0.7500 0.7500 0.7500  4 Cs 3.04, 4 Tc 3.04
Co 0.2500 0.2500 0.2500  4 Tc 3.04, 4 Cs 3.04
Cs 0.0000 0.0000 0.0000  4 Au 3.04, 4 Co 3.04
Tc 0.5000 0.5000 0.5000  4 Au 3.04, 4 Co 3.04

## Properties
- Energy relative to the lowest polymorph listed for this composition: 2.2 meV/atom
- Space-group type: F-43m

***

Computed, not measured: CsCoTcAu after structural relaxation at the PBE level of DFT.

Lattice parameters (Å, degrees): 4.8390 4.8390 4.8390 60.00 60.00 60.00
With the nearest neighbours (Å) after each atom.
Sites, in units of the cell vectors:
Co 0.5000 0.5000 0.5000  4 Tc 2.96, 4 Au 2.96
Tc 0.2500 0.2500 0.2500  4 Co 2.96, 4 Cs 2.96
Cs 0.0000 0.0000 0.0000  4 Au 2.96, 4 Tc 2.96
Au 0.7500 0.7500 0.7500  4 Cs 2.96, 4 Co 2.96

## Properties
- Energy relative to the lowest polymorph listed for this composition: 56.7 meV/atom
- Space-group type: F-43m

***

Computed, not measured: CoCu4Au2 after structural relaxation at the PBE level of DFT.

Lattice parameters (Å, degrees): 7.0516 7.0516 7.0516 143.81 143.81 52.10
With the nearest neighbours (Å) after each atom.
Sites, in units of the cell vectors:
Cu 0.1829 0.1829 0.0000  1 Co 2.32, 1 Au 2.51
Au 0.6191 0.6191 0.0000  5 Cu 2.51-2.66
Cu 0.5000 0.0000 0.5000  2 Co 2.19
Cu 0.0000 0.5000 0.5000  2 Co 2.19
Au 0.3809 0.3809 0.0000  5 Cu 2.51-2.66
Cu 0.8171 0.8171 0.0000  1 Co 2.32, 1 Au 2.51
Co 0.0000 0.0000 0.0000  6 Cu 2.19-2.32

## Properties
- Space-group type: I4/mmm
- Raw total energy: -3.355 eV per atom

***

Computed, not measured: CoCuGeAu after structural relaxation at the PBE level of DFT.

Lattice parameters (Å, degrees): 4.3133 4.3133 4.3133 60.00 60.00 60.00
With the nearest neighbours (Å) after each atom.
Sites, in units of the cell vectors:
Cu 0.2500 0.2500 0.2500  4 Au 2.64, 4 Ge 2.64
Co 0.7500 0.7500 0.7500  4 Au 2.64, 4 Ge 2.64
Au 0.5000 0.5000 0.5000  4 Co 2.64, 4 Cu 2.64
Ge 0.0000 0.0000 0.0000  4 Co 2.64, 4 Cu 2.64

## Properties
- Energy relative to the lowest polymorph listed for this composition: 0.0 meV/atom
- Space-group type: F-43m

***

Computed, not measured: CoCuReAu after structural relaxation at the PBE level of DFT.

Lattice parameters (Å, degrees): 4.2384 4.2384 4.2384 60.00 60.00 60.00
With the nearest neighbours (Å) after each atom.
Sites, in units of the cell vectors:
Cu 0.7500 0.7500 0.7500  4 Re 2.60, 4 Au 2.60
Re 0.5000 0.5000 0.5000  4 Co 2.60, 4 Cu 2.60
Au 0.0000 0.0000 0.0000  4 Cu 2.60, 4 Co 2.60
Co 0.2500 0.2500 0.2500  4 Re 2.60, 4 Au 2.60

## Properties
- Energy relative to the lowest polymorph listed for this composition: 0.0 meV/atom
- Space-group type: F-43m

***

Computed, not measured: CoCuSiAu after structural relaxation at the PBE level of DFT.

Lattice parameters (Å, degrees): 4.2069 4.2069 4.2069 60.00 60.00 60.00
With the nearest neighbours (Å) after each atom.
Sites, in units of the cell vectors:
Si 0.0000 0.0000 0.0000  4 Au 2.58, 4 Co 2.58
Au 0.2500 0.2500 0.2500  4 Si 2.58, 4 Cu 2.58
Cu 0.5000 0.5000 0.5000  4 Co 2.58, 4 Au 2.58
Co 0.7500 0.7500 0.7500  4 Cu 2.58, 4 Si 2.58

## Properties
- Energy relative to the lowest polymorph listed for this composition: 0.0 meV/atom
- Space-group type: F-43m